Entry 1:
This record from Alexandria via LeMat-Bulk describes a relaxed structure of AcPm5Ag6. The functional is GGA-PBE.

- density (Mg/m³) = 8.25
- energy relative to the elements (eV per atom) = -0.26

Structure (CIF):
```
data_AcPm5Ag6
_symmetry_space_group_name_H-M 'P 1'
_symmetry_Int_Tables_number 1
_cell_length_a 5.356
_cell_length_b 7.463
_cell_length_c 8.509
_cell_angle_alpha 90.00
_cell_angle_beta 108.80
_cell_angle_gamma 90.00
loop_
_symmetry_equiv_pos_as_xyz
'x,y,z'
loop_
_atom_site_label
_atom_site_fract_x
_atom_site_fract_y
_atom_site_fract_z
Ag1 0.500 0.265 0.000
Pm1 0.665 0.500 0.331
Ag2 0.829 0.743 0.657
Pm2 0.000 0.500 0.000
Ag3 0.500 0.735 0.000
Ag4 0.829 0.257 0.657
Ac1 0.000 0.000 0.000
Pm3 0.335 0.500 0.669
Pm4 0.332 0.000 0.663
Pm5 0.668 0.000 0.337
Ag5 0.171 0.743 0.343
Ag6 0.171 0.257 0.343
```

=====

Entry 2:
This record from Alexandria via LeMat-Bulk describes a relaxed structure of Ac3PmAg3. The functional is GGA-PBE.

- density (Mg/m³) = 8.21
- energy relative to the elements (eV per atom) = -0.13

Structure (CIF):
```
data_Ac3PmAg3
_symmetry_space_group_name_H-M 'P 1'
_symmetry_Int_Tables_number 1
_cell_length_a 7.788
_cell_length_b 7.788
_cell_length_c 7.715
_cell_angle_alpha 91.43
_cell_angle_beta 91.43
_cell_angle_gamma 95.98
loop_
_symmetry_equiv_pos_as_xyz
'x,y,z'
loop_
_atom_site_label
_atom_site_fract_x
_atom_site_fract_y
_atom_site_fract_z
Pm1 0.251 0.251 0.131
Ac1 0.653 0.653 0.376
Ac2 0.347 0.347 0.624
Ag1 0.058 0.058 0.828
Ag2 0.017 0.500 0.277
Pm2 0.749 0.749 0.869
Ac3 0.732 0.268 0.000
Ag3 0.500 0.017 0.277
Ag4 0.942 0.942 0.172
Ag5 0.983 0.500 0.723
Ag6 0.500 0.983 0.723
Ac4 0.825 0.175 0.500
Ac5 0.268 0.732 0.000
Ac6 0.175 0.825 0.500
```

=====

Entry 3:
This record from Alexandria via LeMat-Bulk describes a relaxed structure of AcPm4Ag. The functional is GGA-PBE.

- density (Mg/m³) = 7.58
- energy relative to the elements (eV per atom) = -0.06

Structure (CIF):
```
data_AcPm4Ag
_symmetry_space_group_name_H-M 'P 1'
_symmetry_Int_Tables_number 1
_cell_length_a 3.759
_cell_length_b 3.759
_cell_length_c 14.185
_cell_angle_alpha 90.00
_cell_angle_beta 90.00
_cell_angle_gamma 90.00
loop_
_symmetry_equiv_pos_as_xyz
'x,y,z'
loop_
_atom_site_label
_atom_site_fract_x
_atom_site_fract_y
_atom_site_fract_z
Pm1 0.500 0.500 0.809
Pm2 0.000 0.000 0.630
Ac1 0.000 0.000 0.000
Ag1 0.500 0.500 0.500
Pm3 0.500 0.500 0.191
Pm4 0.000 0.000 0.370
```

=====

Entry 4:
This record from Alexandria via LeMat-Bulk describes a relaxed structure of AcPm2Ag6. The functional is GGA-PBE.

- density (Mg/m³) = 8.46
- energy relative to the elements (eV per atom) = -0.20
- E above lowest polymorph (meV per atom) = 56

Structure (CIF):
```
data_AcPm2Ag6
_symmetry_space_group_name_H-M 'P 1'
_symmetry_Int_Tables_number 1
_cell_length_a 3.825
_cell_length_b 8.650
_cell_length_c 8.650
_cell_angle_alpha 55.55
_cell_angle_beta 77.23
_cell_angle_gamma 77.23
loop_
_symmetry_equiv_pos_as_xyz
'x,y,z'
loop_
_atom_site_label
_atom_site_fract_x
_atom_site_fract_y
_atom_site_fract_z
Ag1 0.822 0.863 0.493
Pm1 0.639 0.861 0.861
Ac1 0.500 0.500 0.500
Ag2 0.000 0.824 0.176
Ag3 0.000 0.176 0.824
Ag4 0.178 0.507 0.137
Ag5 0.822 0.493 0.863
Ag6 0.178 0.137 0.507
Pm2 0.361 0.139 0.139
```

=====

Entry 5:
This record from Alexandria via LeMat-Bulk describes a relaxed structure of Ac2PmAg9. The functional is GGA-PBE.

- density (Mg/m³) = 9.35
- energy relative to the elements (eV per atom) = -0.15

Structure (CIF):
```
data_Ac2PmAg9
_symmetry_space_group_name_H-M 'P 1'
_symmetry_Int_Tables_number 1
_cell_length_a 5.799
_cell_length_b 5.799
_cell_length_c 10.140
_cell_angle_alpha 73.38
_cell_angle_beta 73.38
_cell_angle_gamma 60.00
loop_
_symmetry_equiv_pos_as_xyz
'x,y,z'
loop_
_atom_site_label
_atom_site_fract_x
_atom_site_fract_y
_atom_site_fract_z
Ac1 0.861 0.861 0.417
Ag1 0.419 0.419 0.243
Ag2 0.419 0.920 0.243
Ag3 0.920 0.419 0.243
Ag4 0.500 0.500 0.500
Ag5 0.333 0.333 0.001
Ag6 0.667 0.667 0.999
Ac2 0.139 0.139 0.583
Ag7 0.581 0.080 0.757
Ag8 0.581 0.581 0.757
Pm1 0.000 0.000 0.000
Ag9 0.080 0.581 0.757
```

=====

Entry 6:
This record from Alexandria via LeMat-Bulk describes a relaxed structure of AcPm3Ag4. The functional is GGA-PBE.

- density (Mg/m³) = 8.34
- energy relative to the elements (eV per atom) = -0.25

Structure (CIF):
```
data_AcPm3Ag4
_symmetry_space_group_name_H-M 'P 1'
_symmetry_Int_Tables_number 1
_cell_length_a 5.384
_cell_length_b 7.513
_cell_length_c 10.768
_cell_angle_alpha 90.00
_cell_angle_beta 90.00
_cell_angle_gamma 90.00
loop_
_symmetry_equiv_pos_as_xyz
'x,y,z'
loop_
_atom_site_label
_atom_site_fract_x
_atom_site_fract_y
_atom_site_fract_z
Pm1 0.500 0.500 0.250
Ag1 0.999 0.766 0.250
Pm2 0.000 0.000 0.500
Pm3 0.499 0.000 0.250
Ag2 0.500 0.766 0.000
Ag3 0.500 0.234 0.000
Pm4 0.501 0.000 0.750
Ac1 0.000 0.500 0.500
Pm5 0.000 0.000 0.000
Pm6 0.500 0.500 0.750
Ag4 0.999 0.234 0.250
Ag5 0.001 0.766 0.750
Ag6 0.500 0.766 0.500
Ag7 0.001 0.234 0.750
Ag8 0.500 0.234 0.500
Ac2 0.000 0.500 0.000
```

=====

Entry 7:
This record from Alexandria via LeMat-Bulk describes a relaxed structure of Ac2Pm2Ag3. The functional is GGA-PBE.

- density (Mg/m³) = 7.96
- energy relative to the elements (eV per atom) = -0.10

Structure (CIF):
```
data_Ac2Pm2Ag3
_symmetry_space_group_name_H-M 'P 1'
_symmetry_Int_Tables_number 1
_cell_length_a 5.455
_cell_length_b 5.468
_cell_length_c 9.174
_cell_angle_alpha 90.01
_cell_angle_beta 107.13
_cell_angle_gamma 120.06
loop_
_symmetry_equiv_pos_as_xyz
'x,y,z'
loop_
_atom_site_label
_atom_site_fract_x
_atom_site_fract_y
_atom_site_fract_z
Pm1 0.746 0.873 0.618
Ac1 0.760 0.380 0.141
Ac2 0.240 0.620 0.859
Ag1 0.000 0.000 0.000
Ag2 0.489 0.244 0.732
Pm2 0.254 0.127 0.382
Ag3 0.511 0.756 0.268
```

=====

Entry 8:
This record from Alexandria via LeMat-Bulk describes a relaxed structure of Ac2PmAg. The functional is GGA-PBE.

- density (Mg/m³) = 8.22
- energy relative to the elements (eV per atom) = -0.10
- E above lowest polymorph (meV per atom) = 0

Structure (CIF):
```
data_Ac2PmAg
_symmetry_space_group_name_H-M 'P 1'
_symmetry_Int_Tables_number 1
_cell_length_a 3.937
_cell_length_b 3.937
_cell_length_c 9.220
_cell_angle_alpha 90.00
_cell_angle_beta 90.00
_cell_angle_gamma 90.00
loop_
_symmetry_equiv_pos_as_xyz
'x,y,z'
loop_
_atom_site_label
_atom_site_fract_x
_atom_site_fract_y
_atom_site_fract_z
Ac1 0.000 0.000 0.216
Ag1 0.500 0.500 0.000
Ac2 0.000 0.000 0.784
Pm1 0.500 0.500 0.500
```

=====

Entry 9:
This record from Alexandria via LeMat-Bulk describes a relaxed structure of Ac2PmAg2. The functional is GGA-PBE.

- density (Mg/m³) = 8.10
- energy relative to the elements (eV per atom) = -0.05
- E above lowest polymorph (meV per atom) = 0

Structure (CIF):
```
data_Ac2PmAg2
_symmetry_space_group_name_H-M 'P 1'
_symmetry_Int_Tables_number 1
_cell_length_a 6.648
_cell_length_b 8.104
_cell_length_c 8.117
_cell_angle_alpha 119.95
_cell_angle_beta 114.18
_cell_angle_gamma 90.00
loop_
_symmetry_equiv_pos_as_xyz
'x,y,z'
loop_
_atom_site_label
_atom_site_fract_x
_atom_site_fract_y
_atom_site_fract_z
Ag1 0.941 0.116 0.883
Pm1 0.250 0.500 0.000
Ag2 0.441 0.766 0.883
Pm2 0.750 0.500 0.000
Ac1 0.798 0.646 0.597
Ac2 0.702 0.049 0.403
Ac3 0.298 0.951 0.597
Ac4 0.202 0.354 0.403
Ag3 0.059 0.884 0.117
Ag4 0.559 0.234 0.117
```

=====

Entry 10:
This record from Alexandria via LeMat-Bulk describes a relaxed structure of Ac2PmAg. The functional is GGA-PBE.

- density (Mg/m³) = 7.58
- energy relative to the elements (eV per atom) = 0.30
- E above lowest polymorph (meV per atom) = 399

Structure (CIF):
```
data_Ac2PmAg
_symmetry_space_group_name_H-M 'P 1'
_symmetry_Int_Tables_number 1
_cell_length_a 3.808
_cell_length_b 3.808
_cell_length_c 12.525
_cell_angle_alpha 81.26
_cell_angle_beta 81.26
_cell_angle_gamma 60.00
loop_
_symmetry_equiv_pos_as_xyz
'x,y,z'
loop_
_atom_site_label
_atom_site_fract_x
_atom_site_fract_y
_atom_site_fract_z
Pm1 0.500 0.500 0.500
Ag1 0.000 0.000 0.000
Ac1 0.915 0.915 0.254
Ac2 0.085 0.085 0.746
```

=====

Entry 11:
This record from Alexandria via LeMat-Bulk describes a relaxed structure of AcPm2Ag2. The functional is GGA-PBE.

- density (Mg/m³) = 7.71
- energy relative to the elements (eV per atom) = -0.14
- E above lowest polymorph (meV per atom) = 45

Structure (CIF):
```
data_AcPm2Ag2
_symmetry_space_group_name_H-M 'P 1'
_symmetry_Int_Tables_number 1
_cell_length_a 5.090
_cell_length_b 5.384
_cell_length_c 11.560
_cell_angle_alpha 94.88
_cell_angle_beta 90.00
_cell_angle_gamma 90.00
loop_
_symmetry_equiv_pos_as_xyz
'x,y,z'
loop_
_atom_site_label
_atom_site_fract_x
_atom_site_fract_y
_atom_site_fract_z
Ag1 0.750 0.645 0.003
Ag2 0.250 0.772 0.634
Ag3 0.750 0.228 0.366
Ac1 0.250 0.702 0.245
Pm1 0.250 0.838 0.888
Pm2 0.750 0.162 0.112
Ag4 0.250 0.355 0.997
Pm3 0.250 0.249 0.506
Ac2 0.750 0.298 0.755
Pm4 0.750 0.751 0.494
```

=====

Entry 12:
This record from Alexandria via LeMat-Bulk describes a relaxed structure of Ac3Pm2Ag2. The functional is GGA-PBE.

- density (Mg/m³) = 8.07
- energy relative to the elements (eV per atom) = -0.04

Structure (CIF):
```
data_Ac3Pm2Ag2
_symmetry_space_group_name_H-M 'P 1'
_symmetry_Int_Tables_number 1
_cell_length_a 3.882
_cell_length_b 3.860
_cell_length_c 16.418
_cell_angle_alpha 90.00
_cell_angle_beta 83.21
_cell_angle_gamma 90.00
loop_
_symmetry_equiv_pos_as_xyz
'x,y,z'
loop_
_atom_site_label
_atom_site_fract_x
_atom_site_fract_y
_atom_site_fract_z
Pm1 0.706 0.500 0.589
Ag1 0.438 0.500 0.124
Ag2 0.562 0.500 0.876
Ac1 0.876 0.000 0.249
Ac2 0.124 0.000 0.751
Ac3 0.000 0.000 0.000
Pm2 0.294 0.500 0.411
```